<a>
Computed, not measured: Cs2Cd2Ge after structural relaxation at the PBE level of DFT.

Lattice parameters (Å, degrees): 4.1885 4.1885 23.8338 90.00 90.00 90.00
With the nearest neighbours (Å) after each atom.
Space group I4/mmm (No. 139)
Unique sites:
Cs 0.0000 0.0000 0.0980  4 Ge 3.77, 4 Cd 4.19, 4 Cs 4.19
Cd 0.0000 0.5000 0.2500  4 Cd 2.96
Ge 0.0000 0.0000 0.5000  8 Cs 3.77, 4 Ge 4.19

DOS at the Fermi energy   6.413 states/eV per cell
Crystal system   tetragonal
V   41.813 Å³ per atom

---

<b>
Computed, not measured: Cs2Cd2Ge after structural relaxation at the PBE level of DFT.

Lattice parameters (Å, degrees): 4.8942 6.3350 12.5252 90.00 90.00 90.00
With the nearest neighbours (Å) after each atom.
Space group Immm (No. 71)
Unique sites:
Cs 0.0000 0.0000 0.1943  6 Cd 3.81-4.13, 2 Ge 3.99, 4 Cs 4.24
Cd 0.0000 0.2436 0.5000  2 Ge 2.89, 1 Cd 3.09
Ge 0.0000 0.5000 0.0000  4 Cd 2.89

DOS at the Fermi energy   1.744 states/eV per cell
Crystal system   orthorhombic
V   38.834 Å³ per atom

---

<c>
Computed, not measured: Cs2Cd2Ge after structural relaxation at the PBE level of DFT.

Lattice parameters (Å, degrees): 7.6982 7.6982 6.2480 90.00 90.00 90.00
With the nearest neighbours (Å) after each atom.
Space group P4/mbm (No. 127)
Unique sites:
Cs 0.1780 0.3220 0.0000  6 Cd 3.67-4.00, 5 Cs 3.88-4.01
Cd 0.1452 0.6452 0.5000  2 Ge 2.95, 1 Cd 3.16
Ge 0.0000 0.0000 0.5000  4 Cd 2.95

DOS at the Fermi energy   0.363 states/eV per cell
Crystal system   tetragonal
V   37.027 Å³ per atom

---

Energy above the most stable structure, in kJ/mol of atoms: <a> 22.0; <b> 0.0; <c> 10.7